{"formula": "MnFe3P", "functional": "GGA-PBE", "state": "optimized geometry", "lattice_angstrom": [[-2.7141, -3.2128, 0.1812], [2.8521, -2.2921, 2.0816], [-1.4900, 1.4648, 3.6545]], "species": ["Fe", "Fe", "Fe", "P", "Mn"], "fractional_positions": [[0.0000, 0.0000, 0.5000], [0.0000, 0.5000, 0.0000], [0.5000, 0.0000, 0.0000], [0.5000, 0.5000, 0.5000], [0.0000, 0.0000, 0.0000]], "delta_e_f_ev_per_atom": 1.26, "m_tot_mub_per_atom": 1.127, "n_ef_per_ev_cell": 8.26, "e_above_lowest_polymorph_mev_per_atom": 940.9}